1.
An optimized crystal structure of NdPa2WC4, computed with PBE-GGA.

Output
The raw total energy comes out at -74.579 eV per formula unit. The total magnetization is 0.0 Bohr magnetons per cell.

```
NdPa2WC4
1.0
-2.454 2.321 -1.048
-3.080 -5.413 1.190
-1.688 3.565 11.850
C Pa W Nd
8 4 2 2
Direct
0.261 0.522 0.378 C
0.576 0.151 0.250 C
0.000 0.000 0.000 C
0.000 0.000 0.500 C
0.424 0.849 0.750 C
0.261 0.522 0.122 C
0.739 0.478 0.878 C
0.739 0.478 0.622 C
0.631 0.261 0.042 Pa
0.369 0.739 0.542 Pa
0.631 0.261 0.458 Pa
0.369 0.739 0.958 Pa
0.165 0.331 0.250 W
0.835 0.669 0.750 W
0.099 0.198 0.750 Nd
0.901 0.802 0.250 Nd
```

***

2.
An optimized crystal structure of Nd7Pb4C, computed with PBE-GGA.

Output
The raw total energy comes out at -60.169 eV per formula unit. The total magnetization is 0.0 Bohr magnetons per cell.

```
Nd7Pb4C
1.0
5.288 0.000 0.000
2.644 9.389 0.413
2.644 0.920 8.213
Pb Nd C
4 7 1
Direct
0.419 0.776 0.385 Pb
0.277 0.343 0.103 Pb
0.581 0.224 0.615 Pb
0.723 0.657 0.897 Pb
0.935 0.245 0.885 Nd
0.065 0.755 0.115 Nd
0.500 0.000 0.000 Nd
0.638 0.462 0.262 Nd
0.362 0.538 0.738 Nd
0.783 0.867 0.567 Nd
0.217 0.133 0.433 Nd
0.000 0.000 0.000 C
```

***

3.
An optimized crystal structure of Nd6Pb3C, computed with PBE-GGA.

Output
The raw total energy comes out at -51.845 eV per formula unit. The total magnetization is 0.0 Bohr magnetons per cell.

```
Nd6Pb3C
1.0
7.219 -1.395 -0.985
2.525 6.578 0.443
2.525 2.616 6.051
Pb Nd C
3 6 1
Direct
0.746 0.818 0.818 Pb
0.254 0.182 0.182 Pb
0.000 0.000 0.000 Pb
0.166 0.642 0.642 Nd
0.637 0.353 0.858 Nd
0.834 0.358 0.358 Nd
0.363 0.142 0.647 Nd
0.363 0.647 0.142 Nd
0.637 0.858 0.353 Nd
0.500 0.500 0.500 C
```

***

4.
An optimized crystal structure of Nd4PbC, computed with PBE-GGA.

Output
The raw total energy comes out at -32.934 eV per formula unit. The total magnetization is 0.0 Bohr magnetons per cell.

```
Nd4PbC
1.0
-2.308 -5.404 -2.074
2.975 -3.323 5.349
-7.131 4.708 2.357
Nd Pb C
8 2 2
Direct
0.811 0.302 0.605 Nd
0.000 0.749 0.000 Nd
0.189 0.698 0.395 Nd
0.410 0.633 0.783 Nd
0.410 0.150 0.783 Nd
0.590 0.367 0.217 Nd
0.590 0.850 0.217 Nd
0.000 0.251 0.000 Nd
0.780 0.805 0.611 Pb
0.220 0.195 0.389 Pb
0.300 0.558 0.117 C
0.700 0.442 0.883 C
```

***

5.
An optimized crystal structure of Nd12Pb3C5, computed with PBE-GGA.

Output
The raw total energy comes out at -116.906 eV per formula unit. The total magnetization is 0.0 Bohr magnetons per cell.

```
Nd12Pb3C5
1.0
14.376 0.000 0.000
-4.792 13.554 0.000
-4.792 -6.777 11.738
Nd C Pb
48 20 12
Direct
0.300 0.413 0.817 Nd
0.087 0.904 0.387 Nd
0.183 0.087 0.700 Nd
0.587 0.700 0.683 Nd
0.183 0.096 0.983 Nd
0.587 0.887 0.404 Nd
0.200 0.683 0.087 Nd
0.904 0.817 0.517 Nd
0.387 0.404 0.087 Nd
0.404 0.387 0.587 Nd
0.983 0.596 0.183 Nd
0.700 0.113 0.017 Nd
0.404 0.017 0.317 Nd
0.017 0.613 0.700 Nd
0.613 0.017 0.200 Nd
0.096 0.183 0.483 Nd
0.613 0.596 0.913 Nd
0.596 0.613 0.413 Nd
0.913 0.096 0.613 Nd
0.413 0.300 0.317 Nd
0.983 0.387 0.300 Nd
0.817 0.913 0.300 Nd
0.113 0.700 0.517 Nd
0.800 0.317 0.913 Nd
0.913 0.817 0.800 Nd
0.887 0.300 0.483 Nd
0.200 0.517 0.613 Nd
0.483 0.683 0.096 Nd
0.017 0.404 0.817 Nd
0.800 0.483 0.387 Nd
0.517 0.317 0.904 Nd
0.387 0.983 0.800 Nd
0.904 0.087 0.887 Nd
0.887 0.587 0.904 Nd
0.087 0.183 0.200 Nd
0.517 0.200 0.113 Nd
0.700 0.587 0.183 Nd
0.683 0.483 0.596 Nd
0.113 0.413 0.096 Nd
0.300 0.887 0.983 Nd
0.683 0.200 0.587 Nd
0.817 0.904 0.017 Nd
0.317 0.517 0.404 Nd
0.596 0.983 0.683 Nd
0.317 0.800 0.413 Nd
0.413 0.113 0.596 Nd
0.483 0.800 0.887 Nd
0.096 0.913 0.113 Nd
0.625 0.875 0.250 C
0.500 0.000 0.500 C
0.875 0.625 0.750 C
0.250 0.375 0.625 C
0.750 0.125 0.875 C
0.750 0.625 0.375 C
0.250 0.875 0.125 C
0.000 0.500 0.500 C
0.500 0.500 0.000 C
0.875 0.250 0.625 C
0.625 0.750 0.875 C
0.125 0.375 0.250 C
0.000 0.000 0.500 C
0.500 0.000 0.000 C
0.000 0.500 0.000 C
0.500 0.500 0.500 C
0.375 0.250 0.125 C
0.000 0.000 0.000 C
0.125 0.750 0.375 C
0.375 0.125 0.750 C
0.250 0.125 0.375 Pb
0.375 0.750 0.625 Pb
0.250 0.625 0.875 Pb
0.875 0.750 0.125 Pb
0.625 0.375 0.750 Pb
0.625 0.250 0.375 Pb
0.875 0.125 0.250 Pb
0.125 0.250 0.875 Pb
0.125 0.875 0.750 Pb
0.750 0.375 0.125 Pb
0.750 0.875 0.625 Pb
0.375 0.625 0.250 Pb
```

***

6.
An optimized crystal structure of PmNd2PbC, computed with PBE-GGA.

Output
The raw total energy comes out at -29.287 eV per formula unit. The total magnetization is 0.0 Bohr magnetons per cell.

```
PmNd2PbC
1.0
5.094 0.000 0.000
0.000 5.136 0.000
0.000 0.000 5.136
Pm Nd Pb C
1 2 1 1
Direct
0.500 0.000 0.000 Pm
0.000 0.000 0.500 Nd
0.000 0.500 0.000 Nd
0.500 0.500 0.500 Pb
0.000 0.000 0.000 C
```

***

7.
An optimized crystal structure of Nd2PuPbC, computed with PBE-GGA.

Output
The raw total energy comes out at -38.338 eV per formula unit. The total magnetization is 5.7 Bohr magnetons per cell.

```
Nd2PuPbC
1.0
4.788 0.000 0.000
0.000 5.185 0.000
0.000 0.000 5.185
Pu C Nd Pb
1 1 2 1
Direct
0.500 0.000 0.000 Pu
0.000 0.000 0.000 C
0.000 0.000 0.500 Nd
0.000 0.500 0.000 Nd
0.500 0.500 0.500 Pb
```

***

8.
An optimized crystal structure of Nd2Sc2Pb2C, computed with PBE-GGA.

Output
The raw total energy comes out at -43.577 eV per formula unit. The total magnetization is 0.0 Bohr magnetons per cell.

```
Nd2Sc2Pb2C
1.0
4.631 0.000 0.000
0.000 4.631 0.000
-2.316 -2.316 8.220
C Sc Pb Nd
1 2 2 2
Direct
0.000 0.000 0.000 C
0.000 0.500 0.000 Sc
0.500 0.000 0.000 Sc
0.633 0.633 0.266 Pb
0.367 0.367 0.734 Pb
0.842 0.842 0.684 Nd
0.158 0.158 0.316 Nd
```